This record from OQMD describes PmBeOs after structural relaxation. The functional is PBE.

```
PmBeOs
1.0
2.168 -3.867 -0.219
-2.121 -3.661 -1.345
0.951 -1.791 -3.949
Be Pm Os
1 1 1
Direct
0.250 0.250 0.250
0.750 0.750 0.750
0.000 0.000 0.000
```

Computed properties:
VASP energy   -5.97 eV per atom
Space group   F-43m, No. 216


This record from OQMD describes PmBeOs after structural relaxation. The functional is PBE.

```
PmBeOs
1.0
-1.901 1.447 3.557
-4.056 -1.084 0.854
-0.865 -2.696 3.215
Be Pm Os
1 1 1
Direct
0.000 0.000 0.000
0.750 0.750 0.750
0.250 0.250 0.250
```

Computed properties:
VASP energy   -6.24 eV per atom
Space group   F-43m, No. 216


This record from OQMD describes PrBeOs after structural relaxation. The functional is PBE.

```
PrBeOs
1.0
-2.988 -0.444 3.110
-4.214 0.156 -1.005
-2.410 -3.599 0.193
Pr Be Os
1 1 1
Direct
0.750 0.750 0.750
0.000 0.000 0.000
0.250 0.250 0.250
```

Computed properties:
VASP energy   -6.16 eV per atom
Space group   F-43m, No. 216


This record from OQMD describes PrBeOs after structural relaxation. The functional is PBE.

```
PrBeOs
1.0
0.000 3.174 3.174
3.174 0.000 3.174
3.174 3.174 0.000
Pr Os Be
1 1 1
Direct
0.750 0.750 0.750
0.000 0.000 0.000
0.250 0.250 0.250
```

Computed properties:
VASP energy   -5.92 eV per atom
Space group   F-43m, No. 216


Per-record total magnetization, μB/cell: 0.03, 0.00, 0.00, 0.08